No. 1
Material: CuMoPt2
Method: DFT, SCAN
State: PBEsol geometry

Unit cell a=2.7361 b=3.8391 c=5.3748 alpha=90.00 beta=89.99 gamma=90.00
With the nearest neighbours (Å) after each atom.
Sites, in units of the cell vectors:
Mo (0.5000, 0.5000, 0.5000)  2 Cu 2.69, 8 Pt 2.72, 2 Mo 2.74
Cu (0.5000, 0.5000, 0.0000)  2 Mo 2.69, 8 Pt 2.71, 2 Cu 2.74
Pt (0.9999, 0.0000, 0.7508)  4 Pt 2.68-2.74, 4 Cu 2.71, 4 Mo 2.72
Pt (0.0001, 0.0000, 0.2492)  4 Pt 2.68-2.74, 4 Cu 2.71, 4 Mo 2.72

DFT total energy	-47.908	eV per atom
symmetry	No. 47
polymorph energy (0 for the lowest one)	0.066	eV per atom

No. 2
Material: CuMoPt2
Method: DFT, SCAN
State: PBEsol geometry

Unit cell a=2.7425 b=2.7425 c=7.4685 alpha=90.00 beta=90.00 gamma=90.00
With the nearest neighbours (Å) after each atom.
Sites, in units of the cell vectors:
Mo (0.5000, 0.5000, 0.5000)  8 Pt 2.73, 4 Mo 2.74
Pt (0.0000, 0.0000, 0.7564)  4 Cu 2.66, 4 Mo 2.73, 4 Pt 2.74
Pt (0.0000, 0.0000, 0.2436)  4 Cu 2.66, 4 Mo 2.73, 4 Pt 2.74
Cu (0.5000, 0.5000, 0.0000)  8 Pt 2.66, 4 Cu 2.74

DFT total energy	-47.974	eV per atom
symmetry	No. 123
polymorph energy (0 for the lowest one)	0.000	eV per atom

No. 3
Material: Rb3CuMo
Method: DFT, SCAN
State: PBEsol geometry

Unit cell a=6.3579 b=6.3579 c=6.3579 alpha=90.00 beta=90.00 gamma=90.00
With the nearest neighbours (Å) after each atom.
Sites, in units of the cell vectors:
Mo (0.5000, 0.5000, 0.5000)  12 Rb 4.50
Cu (0.0000, 0.0000, 0.0000)  6 Rb 3.18
Rb (0.0000, 0.5000, 0.0000)  2 Cu 3.18
Rb (0.0000, 0.0000, 0.5000)  2 Cu 3.18
Rb (0.5000, 0.0000, 0.0000)  2 Cu 3.18

DFT total energy	-21.301	eV per atom
symmetry	No. 221

No. 4
Material: RbCuMo2
Method: DFT, SCAN
State: PBEsol geometry

Unit cell a=4.5221 b=4.5221 c=4.5221 alpha=60.00 beta=60.00 gamma=60.00
With the nearest neighbours (Å) after each atom.
Sites, in units of the cell vectors:
Mo (0.2500, 0.2500, 0.2500)  4 Rb 2.77, 4 Cu 2.77
Mo (0.7500, 0.7500, 0.7500)  4 Cu 2.77, 4 Rb 2.77
Cu (0.0000, 0.0000, 0.0000)  8 Mo 2.77
Rb (0.5000, 0.5000, 0.5000)  8 Mo 2.77

DFT total energy	-24.262	eV per atom
symmetry	No. 225